# Rb3NaF4, relaxed, DFT GGA-PBE
# Energy, Ry/atom: -0.3005
data_Rb3NaF4
_cell_length_a 5.5600
_cell_length_b 5.5600
_cell_length_c 10.9769
_cell_angle_alpha 90.00
_cell_angle_beta 90.00
_cell_angle_gamma 90.00
_symmetry_space_group_name_H-M 'I 4/m m m'
_symmetry_Int_Tables_number 139
_symmetry_space_group_name_Hall '-I 4 2'
loop_
_atom_site_label
_atom_site_fract_x
_atom_site_fract_y
_atom_site_fract_z
Rb1 0.0000 0.0000 0.0000
Rb2 0.0000 0.5000 0.2500
Na1 0.0000 0.0000 0.5000
F1 0.0000 0.0000 0.2886
F2 0.0000 0.5000 0.0000